Arrangement i

This record from Alexandria describes a relaxed structure of Ce3Si3Rh. The functional is PBE.

Summary:
**Spin magnetization**: 0.3216 μB per atom
**Crystal system**: monoclinic

```
Ce3Si3Rh
1.0
-1.388 0.262 4.037
-3.400 -4.494 1.389
9.440 -6.775 5.951
Ce Rh Si
6 2 6
direct
0.396 0.288 0.921
0.520 0.335 0.625
0.480 0.665 0.375
0.604 0.712 0.079
0.251 0.272 0.227
0.749 0.728 0.773
0.759 0.065 0.416
0.241 0.935 0.584
0.106 0.863 0.924
0.130 0.286 0.454
0.055 0.128 0.762
0.945 0.872 0.238
0.870 0.714 0.546
0.894 0.137 0.076
```

***

Arrangement ii

This record from Alexandria describes a relaxed structure of Ce3Si3Rh. The functional is PBE.

Summary:
**Spin magnetization**: 0.0494 μB per atom
**Crystal system**: trigonal

```
Ce3Si3Rh
1.0
6.011 0.000 0.000
-2.004 5.468 0.000
-2.004 -2.734 4.735
Ce Rh Si
3 1 3
direct
0.009 0.402 0.000
0.608 0.598 0.598
0.009 0.000 0.402
0.232 0.000 0.000
0.509 0.000 0.412
0.098 0.588 0.588
0.509 0.412 0.000
```

***

Stability check: which of them is least stable? arrangement ii.

***

Arrangement i

This record from Alexandria describes a relaxed structure of CeSi2Rh4. The functional is PBE.

Summary:
**Spin magnetization**: 0.0005 μB per atom
**Crystal system**: tetragonal

```
CeSi2Rh4
1.0
3.812 0.000 -0.879
-0.203 3.807 -0.879
0.052 0.055 8.933
Rh Si Ce
4 2 1
direct
0.869 0.869 0.738
0.750 0.250 0.500
0.250 0.750 0.500
0.131 0.131 0.262
0.664 0.664 0.328
0.336 0.336 0.672
0.000 0.000 0.000
```

***

Arrangement ii

This record from Alexandria describes a relaxed structure of CeSi2Rh4. The functional is PBE.

Summary:
**Spin magnetization**: 0.0171 μB per atom
**Crystal system**: tetragonal

```
CeSi2Rh4
1.0
3.765 0.000 0.000
0.000 7.702 0.000
0.000 0.000 7.702
Rh Si Ce
8 4 2
direct
0.000 0.074 0.328
0.000 0.926 0.672
0.500 0.172 0.574
0.000 0.672 0.926
0.500 0.574 0.172
0.500 0.828 0.426
0.500 0.426 0.828
0.000 0.328 0.074
0.500 0.729 0.729
0.000 0.771 0.229
0.000 0.229 0.771
0.500 0.271 0.271
0.500 0.000 0.000
0.000 0.500 0.500
```

***

Stability check: which of them is least stable? arrangement i.

***

Arrangement i

This record from Alexandria describes a relaxed structure of Ce3Si3Rh2. The functional is PBE.

Summary:
**Spin magnetization**: 0.0210 μB per atom
**Crystal system**: orthorhombic

```
Ce3Si3Rh2
1.0
-1.788 2.557 2.738
1.299 -5.032 2.401
13.537 5.336 3.858
Ce Si Rh
6 6 4
direct
0.865 0.731 0.405
0.135 0.269 0.595
0.591 0.183 0.250
0.409 0.817 0.750
0.865 0.731 0.095
0.135 0.269 0.905
0.306 0.613 0.250
0.694 0.387 0.750
0.583 0.166 0.051
0.583 0.166 0.449
0.417 0.834 0.949
0.417 0.834 0.551
0.156 0.312 0.121
0.844 0.688 0.621
0.156 0.312 0.379
0.844 0.688 0.879
```

***

Arrangement ii

This record from Alexandria describes a relaxed structure of Ce3Si3Rh2. The functional is PBE.

Summary:
**Spin magnetization**: 0.0992 μB per atom
**Crystal system**: orthorhombic

```
Ce3Si3Rh2
1.0
4.210 0.000 0.000
-2.105 5.337 0.000
0.000 0.000 14.060
Si Ce Rh
6 6 4
direct
0.679 0.359 0.750
0.321 0.641 0.250
0.606 0.212 0.457
0.394 0.788 0.543
0.606 0.212 0.043
0.394 0.788 0.957
0.082 0.163 0.617
0.918 0.837 0.383
0.918 0.837 0.117
0.628 0.255 0.250
0.372 0.745 0.750
0.082 0.163 0.883
0.779 0.559 0.578
0.221 0.441 0.422
0.779 0.559 0.922
0.221 0.441 0.078
```

***

Stability check: which of them is least stable? arrangement ii.

***

Arrangement i

This record from Alexandria describes a relaxed structure of CeSi3Rh2. The functional is PBE.

Summary:
**Spin magnetization**: 0.0000 μB per atom
**Crystal system**: cubic

```
CeSi3Rh2
1.0
-8.213 -2.251 -0.626
-2.505 -7.760 2.533
-4.738 -0.867 7.050
Si Ce Rh
12 4 8
direct
0.163 0.587 0.163
0.587 0.587 0.163
0.837 0.413 0.837
0.587 0.163 0.163
0.413 0.837 0.837
0.837 0.837 0.413
0.163 0.587 0.587
0.413 0.413 0.837
0.837 0.413 0.413
0.163 0.163 0.587
0.413 0.837 0.413
0.587 0.163 0.587
0.000 0.500 0.000
0.000 0.000 0.000
0.500 0.000 0.000
0.000 0.000 0.500
0.250 0.250 0.250
0.250 0.250 0.749
0.750 0.251 0.750
0.250 0.749 0.250
0.749 0.250 0.250
0.750 0.750 0.750
0.750 0.750 0.251
0.251 0.750 0.750
```

***

Arrangement ii

This record from Alexandria describes a relaxed structure of CeSi3Rh2. The functional is PBE.

Summary:
**Spin magnetization**: 0.1629 μB per atom
**Crystal system**: orthorhombic

```
CeSi3Rh2
1.0
-1.935 5.084 0.506
0.698 -0.341 6.090
5.362 2.239 -1.981
Si Rh Ce
6 4 2
direct
0.750 0.113 0.460
0.750 0.460 0.113
0.250 0.540 0.887
0.750 0.056 0.056
0.250 0.944 0.944
0.250 0.887 0.540
0.000 0.792 0.208
0.000 0.208 0.792
0.500 0.792 0.208
0.500 0.208 0.792
0.250 0.332 0.332
0.750 0.668 0.668
```

***

Stability check: which of them is least stable? arrangement i.

***

Arrangement i

This record from Alexandria describes a relaxed structure of Ce2SmRh. The functional is PBE.

Summary:
**Spin magnetization**: 0.2250 μB per atom
**Crystal system**: orthorhombic

```
Ce2SmRh
1.0
-1.429 3.878 -4.480
5.225 -5.430 -6.366
-11.523 -7.641 -2.939
Sm Rh Ce
8 8 16
direct
0.949 0.250 0.643
0.551 0.250 0.143
0.761 0.250 0.396
0.449 0.750 0.857
0.239 0.750 0.604
0.051 0.750 0.357
0.261 0.750 0.104
0.739 0.250 0.896
0.468 0.250 0.571
0.228 0.250 0.824
0.272 0.250 0.324
0.772 0.750 0.176
0.532 0.750 0.429
0.032 0.250 0.071
0.728 0.750 0.676
0.968 0.750 0.929
0.751 0.554 0.036
0.563 0.559 0.287
0.251 0.446 0.464
0.063 0.059 0.213
0.751 0.946 0.036
0.749 0.946 0.536
0.249 0.446 0.964
0.437 0.059 0.713
0.563 0.941 0.287
0.749 0.554 0.536
0.937 0.559 0.787
0.063 0.441 0.213
0.937 0.941 0.787
0.249 0.054 0.964
0.251 0.054 0.464
0.437 0.441 0.713
```

***

Arrangement ii

This record from Alexandria describes a relaxed structure of Ce2SmRh. The functional is PBE.

Summary:
**Spin magnetization**: 0.0055 μB per atom
**Crystal system**: trigonal

```
Ce2SmRh
1.0
3.824 0.000 0.000
1.912 3.312 0.000
1.912 1.104 9.128
Ce Sm Rh
2 1 1
direct
0.271 0.271 0.188
0.063 0.063 0.812
0.500 0.500 0.501
0.667 0.667 0.999
```

***

Arrangement iii

This record from Alexandria describes a relaxed structure of Ce2SmRh. The functional is PBE.

Summary:
**Spin magnetization**: 0.3291 μB per atom
**Crystal system**: trigonal

```
Ce2SmRh
1.0
3.779 0.000 0.000
1.890 3.273 0.000
1.890 1.091 9.281
Rh Ce Sm
1 2 1
direct
0.000 0.000 0.000
0.729 0.729 0.812
0.271 0.271 0.188
0.500 0.500 0.500
```

***

Arrangement iv

This record from Alexandria describes a relaxed structure of Ce2SmRh. The functional is PBE.

Summary:
**Spin magnetization**: 0.0525 μB per atom
**Crystal system**: tetragonal

```
Ce2SmRh
1.0
-2.219 2.828 -0.745
-0.234 -1.104 -3.493
-6.137 -4.346 1.784
Ce Sm Rh
2 1 1
direct
0.000 0.000 0.810
0.000 0.000 0.190
0.500 0.500 0.500
0.500 0.500 0.000
```

***

Stability check: which of them is least stable? arrangement iii.

***

Arrangement i

This record from Alexandria describes a relaxed structure of Ce2SmRh2. The functional is PBE.

Summary:
**Spin magnetization**: 0.0000 μB per atom
**Crystal system**: orthorhombic

```
Ce2SmRh2
1.0
4.450 -0.206 0.395
-1.146 4.305 0.395
-0.554 -0.688 5.872
Rh Ce Sm
2 2 1
direct
0.500 0.500 0.755
0.500 0.500 0.245
0.194 0.806 0.500
0.806 0.194 0.500
0.000 0.000 0.000
```

***

Arrangement ii

This record from Alexandria describes a relaxed structure of Ce2SmRh2. The functional is PBE.

Summary:
**Spin magnetization**: 0.1614 μB per atom
**Crystal system**: triclinic

```
Ce2SmRh2
1.0
4.709 -0.003 1.229
2.311 6.145 0.761
0.286 -0.756 8.451
Ce Sm Rh
4 2 4
direct
0.201 0.697 0.902
0.961 0.421 0.659
0.799 0.303 0.098
0.039 0.579 0.341
0.663 0.001 0.674
0.337 0.999 0.326
0.380 0.234 0.003
0.648 0.286 0.418
0.620 0.766 0.997
0.352 0.714 0.582
```

***

Stability check: which of them is least stable? arrangement i.

***

Arrangement i

This record from Alexandria describes a relaxed structure of Ce6SnRh2. The functional is PBE.

Summary:
**Spin magnetization**: 0.2527 μB per atom
**Crystal system**: monoclinic

```
Ce6SnRh2
1.0
-2.000 -3.011 -2.881
4.920 2.299 -2.109
4.625 -6.662 3.753
Ce Rh Sn
6 2 1
direct
0.710 0.420 0.596
0.076 0.153 0.861
0.290 0.580 0.404
0.924 0.847 0.139
0.588 0.177 0.186
0.412 0.823 0.814
0.255 0.509 0.112
0.745 0.491 0.888
0.000 0.000 0.500
```

***

Arrangement ii

This record from Alexandria describes a relaxed structure of Ce6SnRh2. The functional is PBE.

Summary:
**Spin magnetization**: 0.1854 μB per atom
**Crystal system**: monoclinic

```
Ce6SnRh2
1.0
-3.340 -5.808 1.870
5.679 -6.757 2.073
0.810 -1.773 8.855
Ce Rh Sn
12 4 2
direct
0.541 0.512 0.637
0.259 0.952 0.549
0.241 0.451 0.048
0.311 0.011 0.137
0.959 0.363 0.488
0.689 0.989 0.863
0.759 0.549 0.952
0.741 0.048 0.451
0.459 0.488 0.363
0.811 0.137 0.011
0.041 0.637 0.512
0.189 0.863 0.989
0.579 0.785 0.715
0.921 0.285 0.215
0.079 0.715 0.785
0.421 0.215 0.285
0.750 0.750 0.250
0.250 0.250 0.750
```

***

Stability check: which of them is least stable? arrangement ii.

***

Arrangement i

This record from Alexandria describes a relaxed structure of SrCeRh. The functional is PBE.

Summary:
**Spin magnetization**: 0.2467 μB per atom
**Crystal system**: monoclinic

```
SrCeRh
1.0
4.628 0.000 0.000
0.000 8.116 0.219
-2.314 -0.629 10.556
Sr Rh Ce
4 4 4
direct
0.075 0.329 0.150
0.411 0.132 0.823
0.925 0.671 0.850
0.589 0.868 0.177
0.335 0.465 0.669
0.326 0.802 0.652
0.674 0.198 0.348
0.665 0.535 0.331
0.791 0.381 0.583
0.770 0.894 0.540
0.230 0.106 0.460
0.209 0.619 0.417
```

***

Arrangement ii

This record from Alexandria describes a relaxed structure of SrCeRh. The functional is PBE.

Summary:
**Spin magnetization**: 0.3366 μB per atom
**Crystal system**: trigonal

```
SrCeRh
1.0
-2.829 -1.458 4.744
3.745 0.374 2.349
-2.661 3.514 -0.507
Ce Rh Sr
1 1 1
direct
0.172 0.333 0.667
0.156 0.000 0.000
0.673 0.667 0.333
```

***

Arrangement iii

This record from Alexandria describes a relaxed structure of SrCeRh. The functional is PBE.

Summary:
**Spin magnetization**: 0.2772 μB per atom
**Crystal system**: tetragonal

```
SrCeRh
1.0
-2.698 -1.139 -2.081
2.319 -0.599 -2.678
1.142 -5.486 4.625
Rh Ce Sr
1 1 1
direct
0.688 0.688 0.376
0.283 0.283 0.567
0.029 0.029 0.057
```

***

Stability check: which of them is least stable? arrangement ii.